Compound: PrHf2O
Source: Alexandria
Functional: PBE
Structure: optimized geometry

Cell lengths 3.3319, 3.3319, 8.9257 Å; angles 79.24, 79.24, 60.00 degrees
Element x y z (fractional)
O (0.5000, 0.5000, 0.5000)
Hf (0.8782, 0.8782, 0.3655)
Hf (0.1218, 0.1218, 0.6345)
Pr (0.0000, 0.0000, 0.0000)

* symmetry: No. 166
* ΔE_f (raw): -0.8465 eV per atom
* crystal system: trigonal

Compound: Pr4Hf6O19
Source: Alexandria
Functional: PBE
Structure: optimized geometry

Cell lengths 8.2587, 8.2587, 8.2587 Å; angles 109.47, 109.47, 109.47 degrees
Element x y z (fractional)
O (0.3620, 0.3256, 0.6082)
O (0.0000, 0.6450, 0.6450)
O (0.0364, 0.2827, 0.6744)
O (0.6380, 0.2463, 0.9636)
O (0.6450, 0.0000, 0.6450)
O (0.0000, 0.3550, 0.3550)
O (0.9636, 0.6380, 0.2463)
O (0.6450, 0.6450, 0.0000)
O (0.6082, 0.3620, 0.3256)
O (0.3918, 0.7173, 0.7537)
O (0.0000, 0.0000, 0.0000)
O (0.2463, 0.9636, 0.6380)
O (0.7537, 0.3918, 0.7173)
O (0.6744, 0.0364, 0.2827)
O (0.3550, 0.0000, 0.3550)
O (0.7173, 0.7537, 0.3918)
O (0.3256, 0.6082, 0.3620)
O (0.3550, 0.3550, 0.0000)
O (0.2827, 0.6744, 0.0364)
Hf (0.5000, 0.1659, 0.6659)
Hf (0.3341, 0.5000, 0.8341)
Hf (0.1659, 0.6659, 0.5000)
Hf (0.6659, 0.5000, 0.1659)
Hf (0.8341, 0.3341, 0.5000)
Hf (0.5000, 0.8341, 0.3341)
Pr (0.0000, 0.0000, 0.7043)
Pr (0.0000, 0.7043, 0.0000)
Pr (0.7043, 0.0000, 0.0000)
Pr (0.2957, 0.2957, 0.2957)

* symmetry: No. 197
* ΔE_f (raw): -3.2299 eV per atom
* crystal system: cubic

Compound: Pr3HfO
Source: Alexandria
Functional: PBE
Structure: optimized geometry

Cell lengths 5.0348, 5.0348, 5.0348 Å; angles 90.00, 90.00, 90.00 degrees
Element x y z (fractional)
Pr (0.5000, 0.0000, 0.0000)
Pr (0.0000, 0.5000, 0.0000)
Pr (0.0000, 0.0000, 0.5000)
O (0.0000, 0.0000, 0.0000)
Hf (0.5000, 0.5000, 0.5000)

* symmetry: No. 221
* ΔE_f (raw): -0.9694 eV per atom
* crystal system: cubic

Compound: Pr6HfO12
Source: Alexandria
Functional: PBE
Structure: optimized geometry

Cell lengths 6.8199, 6.8199, 6.8199 Å; angles 98.89, 98.89, 98.89 degrees
Element x y z (fractional)
O (0.0476, 0.9342, 0.6985)
O (0.3015, 0.9524, 0.0658)
O (0.5556, 0.8229, 0.4136)
O (0.6985, 0.0476, 0.9342)
O (0.4444, 0.1771, 0.5864)
O (0.1771, 0.5864, 0.4444)
O (0.9524, 0.0658, 0.3015)
O (0.8229, 0.4136, 0.5556)
O (0.9342, 0.6985, 0.0476)
O (0.0658, 0.3015, 0.9524)
O (0.5864, 0.4444, 0.1771)
O (0.4136, 0.5556, 0.8229)
Pr (0.2898, 0.6094, 0.1370)
Pr (0.8630, 0.7102, 0.3906)
Pr (0.6094, 0.1370, 0.2898)
Pr (0.3906, 0.8630, 0.7102)
Pr (0.7102, 0.3906, 0.8630)
Pr (0.1370, 0.2898, 0.6094)
Hf (0.0000, 0.0000, 0.0000)

* symmetry: No. 148
* ΔE_f (raw): -3.1501 eV per atom
* crystal system: trigonal

Compound: Pr2HfO
Source: Alexandria
Functional: PBE
Structure: optimized geometry

Cell lengths 3.5154, 3.5154, 9.2978 Å; angles 79.10, 79.10, 60.00 degrees
Element x y z (fractional)
O (0.5000, 0.5000, 0.5000)
Pr (0.1131, 0.1131, 0.6608)
Pr (0.8869, 0.8869, 0.3392)
Hf (0.0000, 0.0000, 0.0000)

* symmetry: No. 166
* ΔE_f (raw): -0.8428 eV per atom
* crystal system: trigonal

Compound: Pr2Hf2O7
Source: Alexandria
Functional: PBE
Structure: optimized geometry

Cell lengths 7.6076, 7.6076, 7.6076 Å; angles 60.00, 60.00, 60.00 degrees
Element x y z (fractional)
O (0.7937, 0.2063, 0.7937)
O (0.0437, 0.0437, 0.4563)
O (0.2063, 0.7937, 0.7937)
O (0.2063, 0.2063, 0.7937)
O (0.0437, 0.4563, 0.0437)
O (0.5000, 0.5000, 0.5000)
O (0.0437, 0.4563, 0.4563)
O (0.4563, 0.4563, 0.0437)
O (0.7500, 0.7500, 0.7500)
O (0.7937, 0.2063, 0.2063)
O (0.4563, 0.0437, 0.0437)
O (0.7937, 0.7937, 0.2063)
O (0.2063, 0.7937, 0.2063)
O (0.4563, 0.0437, 0.4563)
Pr (0.6250, 0.1250, 0.6250)
Pr (0.1250, 0.6250, 0.6250)
Pr (0.6250, 0.6250, 0.1250)
Pr (0.6250, 0.6250, 0.6250)
Hf (0.6250, 0.1250, 0.1250)
Hf (0.1250, 0.6250, 0.1250)
Hf (0.1250, 0.1250, 0.1250)
Hf (0.1250, 0.1250, 0.6250)

* symmetry: No. 227
* ΔE_f (raw): -3.5249 eV per atom
* crystal system: cubic

- Look up the ΔE_f (raw) of the second one.
  -3.2299 eV per atom

- Among the records above, which one has the lowest ΔE_f (raw)?
  Pr2Hf2O7